1.
PBE-GGA BeRu2W, optimized geometry; ΔE to the lowest computed polymorph = 72 kJ/mol of formula units; electronic total energy = -0.6489 Ry per atom
1.0
-1.424 2.210 4.135
1.424 -2.210 4.135
1.424 2.210 -4.135
Be Ru W
1 2 1
Direct
0.000 0.000 0.000
0.220 0.720 0.500
0.780 0.280 0.500
0.500 0.500 0.000


2.
PBE-GGA BeRu2W, optimized geometry; ΔE to the lowest computed polymorph = 0 kJ/mol of formula units; electronic total energy = -0.6626 Ry per atom
1.0
0.000 2.995 2.995
2.995 0.000 2.995
2.995 2.995 0.000
Be Ru W
1 2 1
Direct
0.000 0.000 0.000
0.250 0.250 0.250
0.750 0.750 0.750
0.500 0.500 0.500


3.
PBE-GGA Be2RuW2, optimized geometry; ΔE to the lowest computed polymorph = 182 kJ/mol of formula units; electronic total energy = -0.6060 Ry per atom
1.0
-1.431 1.431 7.857
1.431 -1.431 7.857
1.431 1.431 -7.857
Be Ru W
2 1 2
Direct
0.250 0.750 0.500
0.750 0.250 0.500
0.000 0.000 0.000
0.384 0.384 0.000
0.616 0.616 0.000


4.
PBE-GGA Be4RuW, optimized geometry; electronic total energy = -0.4783 Ry per atom
1.0
0.000 3.107 3.107
3.107 0.000 3.107
3.107 3.107 0.000
Be Ru W
4 1 1
Direct
0.123 0.123 0.123
0.123 0.123 0.631
0.123 0.631 0.123
0.631 0.123 0.123
0.500 0.500 0.500
0.750 0.750 0.750


5.
PBE-GGA BeRu2W, optimized geometry; ΔE to the lowest computed polymorph = 131 kJ/mol of formula units; electronic total energy = -0.6377 Ry per atom
1.0
1.473 -2.255 0.000
1.473 2.255 0.000
0.000 0.000 8.079
Be Ru W
1 2 1
Direct
0.000 0.000 0.000
0.500 0.500 0.222
0.500 0.500 0.778
0.000 0.000 0.500


6.
PBE-GGA Be2RuW2, optimized geometry; ΔE to the lowest computed polymorph = 327 kJ/mol of formula units; electronic total energy = -0.5840 Ry per atom
1.0
7.196 0.000 0.000
0.000 7.196 0.000
0.000 0.000 2.595
Be Ru W
4 2 4
Direct
0.171 0.329 0.000
0.329 0.829 0.000
0.671 0.171 0.000
0.829 0.671 0.000
0.000 0.000 0.500
0.500 0.500 0.500
0.126 0.626 0.500
0.374 0.126 0.500
0.626 0.874 0.500
0.874 0.374 0.500


7.
PBE-GGA BeRu2W, optimized geometry; ΔE to the lowest computed polymorph = 254 kJ/mol of formula units; electronic total energy = -0.6143 Ry per atom
1.0
-3.275 3.275 2.538
3.275 -3.275 2.538
3.275 3.275 -2.538
Be Ru W
2 4 2
Direct
0.000 0.000 0.000
0.750 0.250 0.500
0.058 0.125 0.433
0.375 0.942 0.067
0.692 0.625 0.567
0.875 0.308 0.933
0.250 0.750 0.500
0.500 0.500 0.000


8.
PBE-GGA BeRu2W, optimized geometry; ΔE to the lowest computed polymorph = 158 kJ/mol of formula units; electronic total energy = -0.6326 Ry per atom
1.0
1.372 0.792 8.338
-1.372 0.792 8.338
0.000 -1.585 8.338
Be Ru W
1 2 1
Direct
0.000 0.000 0.000
0.495 0.495 0.495
0.740 0.740 0.740
0.250 0.250 0.250


9.
PBE-GGA BeRu2W, optimized geometry; ΔE to the lowest computed polymorph = 103 kJ/mol of formula units; electronic total energy = -0.6431 Ry per atom
1.0
4.181 -1.374 0.000
4.181 1.374 0.000
-0.709 0.000 4.722
Be Ru W
1 2 1
Direct
0.000 0.000 0.000
0.255 0.255 0.771
0.745 0.745 0.229
0.500 0.500 0.500


10.
PBE-GGA BeRuW4, optimized geometry; electronic total energy = -0.7412 Ry per atom
1.0
0.000 3.669 3.669
3.669 0.000 3.669
3.669 3.669 0.000
Be Ru W
1 1 4
Direct
0.000 0.000 0.000
0.750 0.750 0.750
0.374 0.374 0.374
0.374 0.374 0.878
0.374 0.878 0.374
0.878 0.374 0.374


11.
PBE-GGA YBeRu2W, optimized geometry; electronic total energy = -0.5586 Ry per atom
1.0
4.705 0.000 0.000
0.000 4.705 0.000
0.000 0.000 4.501
Y Be Ru W
1 1 2 1
Direct
0.000 0.000 0.000
0.500 0.500 0.000
0.000 0.500 0.500
0.500 0.000 0.500
0.500 0.500 0.500


12.
PBE-GGA YBeRu3, optimized geometry; ΔE to the lowest computed polymorph = 0 kJ/mol of formula units; electronic total energy = -0.5539 Ry per atom
1.0
4.270 0.000 0.000
0.000 4.270 0.000
0.000 0.000 4.270
Y Be Ru
1 1 3
Direct
0.000 0.000 0.000
0.500 0.500 0.500
0.000 0.500 0.500
0.500 0.000 0.500
0.500 0.500 0.000


13.
PBE-GGA YBeRu2, optimized geometry; electronic total energy = -0.5297 Ry per atom
1.0
3.165 0.000 0.000
0.000 3.165 0.000
0.000 0.000 6.297
Y Be Ru
1 1 2
Direct
0.000 0.000 0.000
0.000 0.000 0.500
0.500 0.500 0.306
0.500 0.500 0.694


14.
PBE-GGA YBeRu, optimized geometry; ΔE to the lowest computed polymorph = 104 kJ/mol of formula units; electronic total energy = -0.4714 Ry per atom
1.0
0.000 2.984 2.984
2.984 0.000 2.984
2.984 2.984 0.000
Y Be Ru
1 1 1
Direct
0.000 0.000 0.000
0.750 0.750 0.750
0.500 0.500 0.500